#1
# Cr2AsBr | Alexandria via LeMat-Bulk | PBE | relaxed
# M_tot: 1.975 μB per atom
# crystal system: trigonal
data_Cr2AsBr
_cell_length_a 3.8123
_cell_length_b 3.8123
_cell_length_c 19.3348
_cell_angle_alpha 90.00
_cell_angle_beta 90.00
_cell_angle_gamma 120.00
_symmetry_space_group_name_H-M 'R -3 m'
_symmetry_Int_Tables_number 166
_symmetry_space_group_name_Hall '-R 3 2"'
loop_
_atom_site_label
_atom_site_fract_x
_atom_site_fract_y
_atom_site_fract_z
Cr1 0.0000 0.0000 0.2350
As1 0.0000 0.0000 0.5000
Br1 0.0000 0.0000 0.0000

***

#2
# Cr2AsBr | Alexandria via LeMat-Bulk | PBE | relaxed
# M_tot: 2.000 μB per atom
# crystal system: orthorhombic
data_Cr2AsBr
_cell_length_a 3.366
_cell_length_b 3.446
_cell_length_c 7.019
_cell_angle_alpha 90.00
_cell_angle_beta 90.00
_cell_angle_gamma 90.00
_symmetry_space_group_name_H-M 'P m m m'
_symmetry_Int_Tables_number 47
_symmetry_space_group_name_Hall '-P 2 2'
loop_
_atom_site_label
_atom_site_fract_x
_atom_site_fract_y
_atom_site_fract_z
Cr1 0.000 0.000 0.195
As1 0.500 0.500 0.000
Br1 0.500 0.000 0.500

***

#3
# Cr2AsBr | Alexandria via LeMat-Bulk | PBE | relaxed
# M_tot: 1.949 μB per atom
# crystal system: cubic
data_Cr2AsBr
_cell_length_a 6.658
_cell_length_b 6.658
_cell_length_c 6.658
_cell_angle_alpha 90.00
_cell_angle_beta 90.00
_cell_angle_gamma 90.00
_symmetry_space_group_name_H-M 'F m -3 m'
_symmetry_Int_Tables_number 225
_symmetry_space_group_name_Hall '-F 4 2 3'
loop_
_atom_site_label
_atom_site_fract_x
_atom_site_fract_y
_atom_site_fract_z
Cr1 0.250 0.250 0.250
As1 0.000 0.000 0.000
Br1 0.000 0.000 0.500

***

Stability verdict: #1, ahead by 109 meV per atom

***

#1
# Cr2AsBr | Alexandria via LeMat-Bulk | PBE | relaxed
# M_tot: 2.004 μB per atom
# crystal system: orthorhombic
data_Cr2AsBr
_cell_length_a 3.449
_cell_length_b 3.928
_cell_length_c 6.257
_cell_angle_alpha 90.00
_cell_angle_beta 90.00
_cell_angle_gamma 90.00
_symmetry_space_group_name_H-M 'P m m m'
_symmetry_Int_Tables_number 47
_symmetry_space_group_name_Hall '-P 2 2'
loop_
_atom_site_label
_atom_site_fract_x
_atom_site_fract_y
_atom_site_fract_z
Cr1 0.000 0.000 0.000
Cr2 0.000 0.500 0.500
As1 0.500 0.000 0.500
Br1 0.500 0.500 0.000

***

#2
# Cr2AsBr | Alexandria via LeMat-Bulk | PBE | relaxed
# M_tot: 1.989 μB per atom
# crystal system: tetragonal
data_Cr2AsBr
_cell_length_a 3.823
_cell_length_b 3.823
_cell_length_c 5.405
_cell_angle_alpha 90.00
_cell_angle_beta 90.00
_cell_angle_gamma 90.00
_symmetry_space_group_name_H-M 'P 4/m m m'
_symmetry_Int_Tables_number 123
_symmetry_space_group_name_Hall '-P 4 2'
loop_
_atom_site_label
_atom_site_fract_x
_atom_site_fract_y
_atom_site_fract_z
Cr1 0.000 0.000 0.000
Cr2 0.500 0.500 0.500
As1 0.000 0.000 0.500
Br1 0.500 0.500 0.000

***

#3
# Cr2AsBr | Alexandria via LeMat-Bulk | PBE | relaxed
# M_tot: 0.000 μB per atom
# crystal system: monoclinic
data_Cr2AsBr
_cell_length_a 8.453
_cell_length_b 3.107
_cell_length_c 7.160
_cell_angle_alpha 90.00
_cell_angle_beta 123.79
_cell_angle_gamma 90.00
_symmetry_space_group_name_H-M 'C 1 2/m 1'
_symmetry_Int_Tables_number 12
_symmetry_space_group_name_Hall '-C 2y'
loop_
_atom_site_label
_atom_site_fract_x
_atom_site_fract_y
_atom_site_fract_z
Cr1 0.214 0.000 0.372
As1 0.000 0.000 0.500
Br1 0.000 0.500 0.000

***

Stability verdict: #2, ahead by 84 meV per atom